The following is a PBE calculation of crystalline U2Al9Ir3 at its relaxed geometry, from Alexandria via LeMat-Bulk.

```
28
Lattice="-0.099 3.459 -6.810 -0.437 -7.609 0.500 -9.153 0.796 4.797" Properties=species:S:1:pos:R:3 pbc="T T T"
U -7.028 -0.130 1.418
U -2.661 -3.225 -2.931
U -7.200 -0.426 -2.916
U -2.489 -2.929 1.403
Al -7.301 -4.820 0.897
Al -2.387 1.465 -2.409
Al -7.256 -2.511 -0.626
Al -2.433 -0.844 -0.887
Al -8.776 -2.603 1.694
Al -0.913 -0.752 -3.206
Al -5.530 -2.782 1.535
Al -4.159 -0.573 -3.048
Al -7.010 2.638 -2.349
Al -2.678 -5.993 0.837
Al -9.087 -6.286 4.135
Al -0.602 2.931 -5.647
Al -5.220 0.894 -0.917
Al -4.469 -4.249 -0.595
Al -5.703 -3.055 -2.820
Al -3.986 -0.300 1.307
Al -8.703 1.123 -0.771
Al -0.986 -4.478 -0.742
Ir -0.050 1.729 -3.405
Ir -4.844 -1.678 -0.756
Ir -4.710 1.997 -3.272
Ir -4.979 -5.352 1.759
Ir -0.195 -2.024 -1.009
Ir -9.494 -1.331 -0.503
```

Values from the calculation:
Energy relative to the elements = -617.0 meV/atom

---

The following is a PBE calculation of crystalline UAlIr at its relaxed geometry, from Alexandria via LeMat-Bulk.

```
3
Lattice="3.112 0.000 0.000 0.000 4.511 0.000 0.000 -2.256 3.907" Properties=species:S:1:pos:R:3 pbc="T T T"
Ir 0.518 0.000 0.000
U 2.075 0.000 2.605
Al 0.519 2.256 1.302
```

Values from the calculation:
Energy relative to the elements = -477.9 meV/atom

---

The following is a PBE calculation of crystalline UAlIr at its relaxed geometry, from Alexandria via LeMat-Bulk.

```
3
Lattice="2.971 0.000 0.000 0.000 2.971 0.000 -1.485 -1.485 5.961" Properties=species:S:1:pos:R:3 pbc="T T T"
Ir 1.485 1.485 2.195
U 0.000 0.000 0.078
Al 0.000 0.000 3.688
```

Values from the calculation:
Energy relative to the elements = -461.5 meV/atom

---

The following is a PBE calculation of crystalline UAl5Ir at its relaxed geometry, from Alexandria via LeMat-Bulk.

```
7
Lattice="-1.006 -1.955 -3.692 3.879 0.971 -1.572 2.470 -5.902 2.452" Properties=species:S:1:pos:R:3 pbc="T T T"
U 0.000 0.000 0.000
Al 1.226 -5.108 -0.130
Al 3.668 -3.645 0.930
Al 1.436 -0.492 -2.632
Al 2.681 -1.286 -0.050
Al 0.238 -2.749 -1.110
Ir 1.235 -2.951 1.226
```

Values from the calculation:
Energy relative to the elements = -479.6 meV/atom

---

The following is a PBE calculation of crystalline UAlIr at its relaxed geometry, from Alexandria via LeMat-Bulk.

```
9
Lattice="3.439 -5.956 0.000 3.439 5.956 0.000 0.000 0.000 4.131" Properties=species:S:1:pos:R:3 pbc="T T T"
U 2.916 0.000 2.065
U 1.981 -3.431 2.065
U 1.981 3.431 2.065
Al 5.257 0.000 0.000
Al 0.810 -1.403 0.000
Al 0.810 1.403 0.000
Ir 3.439 -1.985 0.000
Ir 3.439 1.985 0.000
Ir 0.000 0.000 2.065
```

Values from the calculation:
Energy relative to the elements = -652.8 meV/atom

---

The following is a PBE calculation of crystalline U2Al12Ir7 at its relaxed geometry, from Alexandria via LeMat-Bulk.

```
21
Lattice="3.029 0.000 0.000 0.000 9.740 -5.624 0.000 0.000 11.247" Properties=species:S:1:pos:R:3 pbc="T T T"
U 1.514 0.000 0.000
U 0.000 6.494 0.000
Al 1.514 8.625 1.818
Al 1.514 7.003 -2.755
Al 1.514 3.853 0.937
Al 1.514 2.512 7.776
Al 1.514 5.478 5.183
Al 1.514 1.750 3.911
Al 0.000 0.715 6.057
Al 0.000 4.888 7.599
Al 0.000 4.137 3.215
Al 0.000 7.572 3.876
Al 0.000 9.311 -2.872
Al 0.000 2.598 -1.004
Ir 0.000 3.247 5.624
Ir 0.000 0.526 8.688
Ir 0.000 7.261 6.448
Ir 0.000 1.953 1.735
Ir 1.514 6.051 2.498
Ir 1.514 8.878 -0.865
Ir 1.514 4.552 -1.632
```

Values from the calculation:
Energy relative to the elements = -701.6 meV/atom

---

The following is a PBE calculation of crystalline AlV2Ir at its relaxed geometry, from Alexandria via LeMat-Bulk.

```
8
Lattice="7.109 0.000 0.000 0.000 7.109 0.000 3.555 3.555 2.508" Properties=species:S:1:pos:R:3 pbc="T T T"
Ir 0.000 0.000 0.000
Ir 7.109 3.555 1.254
Al 3.555 3.555 0.000
Al 3.555 7.109 1.254
V 5.572 1.777 0.627
V 1.537 5.332 0.627
V 5.332 5.091 1.881
V 8.886 9.127 1.881
```

Values from the calculation:
Energy relative to the elements = 151.5 meV/atom

---

The following is a PBE calculation of crystalline Al8VIr2 at its relaxed geometry, from Alexandria via LeMat-Bulk.

```
11
Lattice="-2.422 0.803 3.051 -2.282 -7.167 0.075 6.460 1.911 2.032" Properties=species:S:1:pos:R:3 pbc="T T T"
Al -1.564 -5.192 2.717
Al 2.297 -2.477 2.475
Al 1.249 -0.386 1.093
Al -0.707 -2.222 0.023
Al 0.507 -4.066 4.064
Al -0.540 -1.976 2.683
Al 3.321 0.739 2.441
Al 2.464 -2.231 5.135
V -1.211 0.401 1.525
Ir 0.497 -4.090 1.471
Ir 1.259 -0.362 3.687
```

Values from the calculation:
Energy relative to the elements = -567.5 meV/atom

---

Computed E, in the same sequence as the records: -6.5343 -8.4418 -8.4254 -6.0313 -8.6167 -6.8689 -7.5587 -5.7294 eV/atom.